Model A:
La3GaNi3, optimized geometry, DFT PBE; Fermi-level density of states = 4.9 states/eV/f.u.; M_tot = 0.00 μB/f.u.
1.0
-1.4928 0.7788 5.3126
-7.7001 -3.4371 -1.6597
6.4866 -5.0233 2.5591
La Ni Ga
6 6 2
direct
0.7500 0.9483 0.3033
0.2500 0.6450 0.9483
0.2500 0.0517 0.6967
0.7500 0.6967 0.6450
0.7500 0.3550 0.0517
0.2500 0.3033 0.3550
0.2500 0.9395 0.3192
0.2500 0.6808 0.6203
0.7500 0.6203 0.9395
0.7500 0.0605 0.6808
0.7500 0.3192 0.3797
0.2500 0.3797 0.0605
0.7500 0.3333 0.6667
0.2500 0.6667 0.3333

Model B:
La3GaNi3, optimized geometry, DFT PBE; Fermi-level density of states = 6.4 states/eV/f.u.; M_tot = 0.00 μB/f.u.
1.0
4.1948 0.0000 0.0000
-2.0974 5.2115 0.0000
0.0000 0.0000 13.7377
Ni La Ga
6 6 2
direct
0.0706 0.1411 0.0870
0.8020 0.6040 0.7500
0.0706 0.1411 0.4130
0.1980 0.3960 0.2500
0.9294 0.8589 0.9130
0.9294 0.8589 0.5870
0.4974 0.9947 0.7500
0.7837 0.5675 0.3968
0.2163 0.4325 0.8968
0.5026 0.0053 0.2500
0.7837 0.5675 0.1032
0.2163 0.4325 0.6032
0.5000 0.0000 0.5000
0.5000 0.0000 0.0000

The data favor model B; the next most stable structure lies 18.5 kJ/mol of atoms above it.

Model A:
La2Ga2Ni3, optimized geometry, DFT PBE; Fermi-level density of states = 5.5 states/eV/f.u.; M_tot = 0.00 μB/f.u.
1.0
-1.5959 0.5900 -3.7537
-5.7286 -3.7289 1.8493
-3.2229 7.3239 4.7839
Ni Ga La
6 4 4
direct
0.2273 0.7500 0.4547
0.4403 0.5675 0.8806
0.5597 0.4325 0.1194
0.7727 0.2500 0.5453
0.4403 0.9325 0.8806
0.5597 0.0675 0.1194
0.6925 0.9394 0.3849
0.3075 0.4394 0.6151
0.3075 0.0606 0.6151
0.6925 0.5606 0.3849
0.8526 0.7500 0.7052
0.9393 0.2500 0.8786
0.0607 0.7500 0.1214
0.1474 0.2500 0.2948

Model B:
La2Ga2Ni3, optimized geometry, DFT PBE; Fermi-level density of states = 5.7 states/eV/f.u.; M_tot = 0.00 μB/f.u.
1.0
7.1961 0.0000 0.0000
-2.3987 6.7846 0.0000
-2.3987 -3.3923 5.8756
Ga Ni La
4 6 4
direct
0.0579 0.5579 0.5579
0.5000 0.9421 0.5000
0.0000 0.0000 0.9421
0.4421 0.5000 0.0000
0.9547 0.2047 0.2500
0.2500 0.0453 0.2953
0.7047 0.2500 0.4547
0.7500 0.4547 0.2047
0.5453 0.2953 0.7500
0.7953 0.7500 0.0453
0.4834 0.9834 0.9834
0.0000 0.0000 0.5166
0.5000 0.5166 0.5000
0.0166 0.5000 0.0000

The data favor model A; the next most stable structure lies 11.6 kJ/mol of atoms above it.

Model A:
LaGa4Ni2, optimized geometry, DFT PBE; Fermi-level density of states = 4.7 states/eV/f.u.; M_tot = 0.00 μB/f.u.
1.0
4.2947 0.0000 0.0000
0.0000 4.3300 0.0000
0.0000 -2.1650 6.6564
Ga La Ni
4 1 2
direct
0.0000 0.3194 0.6388
0.5000 0.8194 0.6389
0.0000 0.6806 0.3612
0.5000 0.1806 0.3611
0.0000 0.0000 0.0000
0.5000 0.5933 0.1866
0.5000 0.4067 0.8134

Model B:
LaGa4Ni2, optimized geometry, DFT PBE; Fermi-level density of states = 3.1 states/eV/f.u.; M_tot = 0.00 μB/f.u.
1.0
-1.6921 -2.0416 3.1548
6.0122 0.2610 3.3935
-4.6320 14.7651 7.0709
Ga Ni La
16 8 4
direct
0.2500 0.5062 0.4046
0.2500 0.2669 0.5370
0.2500 0.9938 0.9046
0.2500 0.2339 0.2026
0.2500 0.2331 0.0370
0.7500 0.7339 0.2974
0.7500 0.7661 0.7974
0.2500 0.8454 0.1871
0.2500 0.6546 0.6871
0.7500 0.1546 0.8129
0.2500 0.2661 0.7026
0.7500 0.4938 0.5954
0.7500 0.0062 0.0954
0.7500 0.7331 0.4630
0.7500 0.3454 0.3129
0.7500 0.7669 0.9630
0.2500 0.8461 0.0358
0.2500 0.9523 0.7659
0.2500 0.5477 0.2659
0.7500 0.1539 0.9642
0.7500 0.3461 0.4642
0.7500 0.4523 0.7341
0.2500 0.6539 0.5358
0.7500 0.0477 0.2341
0.2500 0.0191 0.3796
0.7500 0.9809 0.6204
0.2500 0.4809 0.8796
0.7500 0.5191 0.1204

The data favor model B; the next most stable structure lies 14.5 kJ/mol of atoms above it.

Model A:
La3Ga8Ni3, optimized geometry, DFT PBE; Fermi-level density of states = 7.3 states/eV/f.u.; M_tot = 0.00 μB/f.u.
1.0
-1.8551 3.3396 2.3638
3.3626 -0.4854 7.5935
6.3343 5.2707 1.7936
Ga La Ni
8 3 3
direct
0.1312 0.1632 0.5744
0.4891 0.3391 0.6827
0.1526 0.5652 0.1296
0.5109 0.6609 0.3173
0.3521 0.0262 0.2697
0.6479 0.9738 0.7303
0.8474 0.4348 0.8704
0.8688 0.8368 0.4256
0.2875 0.7267 0.6983
0.7125 0.2733 0.3017
0.0000 0.0000 0.0000
0.0000 0.5000 0.5000
0.6556 0.6865 0.0022
0.3444 0.3135 0.9978

Model B:
La3Ga8Ni3, optimized geometry, DFT PBE; Fermi-level density of states = 7.2 states/eV/f.u.; M_tot = 0.00 μB/f.u.
1.0
4.3363 0.0000 0.0000
2.1682 7.9174 -0.2351
2.1682 1.9293 7.6823
Ga La Ni
8 3 3
direct
0.6179 0.6683 0.0958
0.1643 0.1959 0.4754
0.6179 0.0958 0.6683
0.1643 0.4754 0.1959
0.8357 0.5246 0.8041
0.8357 0.8041 0.5246
0.3821 0.9042 0.3317
0.3821 0.3317 0.9042
0.1800 0.8200 0.8200
0.8200 0.1800 0.1800
0.5000 0.5000 0.5000
0.5000 0.0000 0.0000
0.0000 0.2165 0.7835
0.0000 0.7835 0.2165

The data favor model B; the next most stable structure lies 1.3 kJ/mol of atoms above it.